Entry 1:
DFT (meta-GGA SCAN) results for a crystal of MnZn2SiMo relaxed with PBEsol.

As for the formation energy from raw total energies: 1.080 eV per atom. The value obtained for the mass density is 5.9 g cm⁻³. The calculation puts the magnetic moment at 0.1 μB per formula unit. The raw total energy comes out at -16.9575 eV per atom.

The structure belongs to space group P4/mmm (No. 123); the cell edges are 4.513, 4.513 and 4.283 Å and the angles 90.00°, 90.00° and 90.00°. The asymmetric unit holds Mn at (0.000, 0.000, 0.000), Zn at (0.000, 0.500, 0.000), Si at (0.500, 0.500, 0.500) and Mo at (0.000, 0.000, 0.500).

Entry 2:
DFT (meta-GGA SCAN) results for a crystal of CoReOs2 relaxed with PBEsol.

The calculation puts the energy of formation at 13.94 kJ per mole of atoms. As for the excess energy over the best structure of this formula in the dataset: 0 meV per atom. The value obtained for the mass density is 19.6 g cm⁻³. The calculation puts the magnetic moment at 0.0 μB per formula unit. The raw total energy comes out at -57.8959 eV per atom.

The structure belongs to space group I4/mmm (No. 139); the cell edges are 3.782, 3.782 and 7.394 Å and the angles 90.00°, 90.00° and 90.00°. The asymmetric unit holds Co at (0.000, 0.000, 0.000), Re at (0.000, 0.000, 0.500) and Os at (0.000, 0.500, 0.250).

Entry 3:
DFT (meta-GGA SCAN) results for a crystal of AgSn2Cl2 relaxed with PBEsol.

As for the formation energy from raw total energies: -0.046 eV per atom. The value obtained for the mass density is 5.6 g cm⁻³. The calculation puts the magnetic moment at 0.0 μB per formula unit. The raw total energy comes out at -23.8788 eV per atom.

The structure belongs to space group I4/mmm (No. 139); the cell edges are 4.300, 4.300 and 13.353 Å and the angles 90.00°, 90.00° and 90.00°. The asymmetric unit holds Ag at (0.000, 0.000, 0.000), Sn at (0.000, 0.000, 0.391) and Cl at (0.000, 0.500, 0.250).

Entry 4:
DFT (meta-GGA SCAN) results for a crystal of NbPtSN2 relaxed with PBEsol.

As for the formation energy from raw total energies: 0.695 eV per atom. The value obtained for the mass density is 7.4 g cm⁻³. The calculation puts the magnetic moment at 1.8 μB per formula unit. The raw total energy comes out at -25.6112 eV per atom.

The structure belongs to space group P4/mmm (No. 123); the cell edges are 3.888, 3.888 and 5.181 Å and the angles 90.00°, 90.00° and 90.00°. The asymmetric unit holds Nb at (0.000, 0.000, 0.000), Pt at (0.500, 0.500, 0.500), S at (0.000, 0.000, 0.500) and N at (0.000, 0.500, 0.000).

Entry 5:
DFT (meta-GGA SCAN) results for a crystal of Te3C relaxed with PBEsol.

As for the excess energy over the best structure of this formula in the dataset: 0 meV per atom. As for the formation energy from raw total energies: 1.188 eV per atom. The value obtained for the mass density is 6.5 g cm⁻³. The calculation puts the magnetic moment at 0.0 μB per formula unit. The raw total energy comes out at -29.2755 eV per atom.

The structure belongs to space group Immm (No. 71); the cell edges are 3.062, 7.040 and 9.304 Å and the angles 90.00°, 90.00° and 90.00°. The asymmetric unit holds Te at (0.000, 0.000, 0.000), Te at (0.000, 0.500, 0.174) and C at (0.000, 0.000, 0.500).

Entry 6:
DFT (meta-GGA SCAN) results for a crystal of BaLaCdMo2 relaxed with PBEsol.

The calculation puts the energy of formation at 147.26 kJ per mole of atoms. The value obtained for the mass density is 6.3 g cm⁻³. The calculation puts the magnetic moment at 5.6 μB per formula unit. The raw total energy comes out at -35.0418 eV per atom.

The structure belongs to space group P4/mmm (No. 123); the cell edges are 5.217, 5.217 and 5.606 Å and the angles 90.00°, 90.00° and 90.00°. The asymmetric unit holds Ba at (0.000, 0.000, 0.000), La at (0.500, 0.500, 0.000), Cd at (0.000, 0.000, 0.500) and Mo at (0.000, 0.500, 0.500).

Entry 7:
DFT (meta-GGA SCAN) results for a crystal of MnCo2Si relaxed with PBEsol.

As for the formation energy from raw total energies: -0.575 eV per atom. The value obtained for the mass density is 7.8 g cm⁻³. The calculation puts the magnetic moment at 5.0 μB per formula unit. The raw total energy comes out at -16.2947 eV per atom.

The structure belongs to space group Fm-3m (No. 225); the cell edges are 5.557, 5.557 and 5.557 Å and the angles 90.00°, 90.00° and 90.00°. The asymmetric unit holds Mn at (0.000, 0.000, 0.000), Co at (0.250, 0.250, 0.250) and Si at (0.000, 0.000, 0.500).

Entry 8:
DFT (meta-GGA SCAN) results for a crystal of Al2CrSb relaxed with PBEsol.

As for the formation energy from raw total energies: 0.101 eV per atom. The value obtained for the mass density is 5.5 g cm⁻³. The calculation puts the magnetic moment at 3.4 μB per formula unit. The raw total energy comes out at -17.6860 eV per atom.

The structure belongs to space group I-4m2 (No. 119); the cell edges are 4.061, 4.061 and 8.383 Å and the angles 90.00°, 90.00° and 90.00°. The asymmetric unit holds Al at (0.000, 0.000, 0.000), Al at (0.000, 0.500, 0.250), Cr at (0.000, 0.000, 0.500) and Sb at (0.000, 0.500, 0.750).

Entry 9:
DFT (meta-GGA SCAN) results for a crystal of YCd2Se relaxed with PBEsol.

As for the formation energy from raw total energies: -0.726 eV per atom. The value obtained for the mass density is 6.9 g cm⁻³. The calculation puts the magnetic moment at 0.0 μB per formula unit. The raw total energy comes out at -27.9139 eV per atom.

The structure belongs to space group Cm (No. 8); the cell edges are 9.759, 3.760 and 5.554 Å and the angles 90.00°, 112.26° and 90.00°. The asymmetric unit holds Y at (0.000, 0.000, 0.000), Cd at (0.206, 0.000, 0.610), Cd at (0.449, 0.000, 0.449) and Se at (0.219, 0.500, 0.020).

Entry 10:
DFT (meta-GGA SCAN) results for a crystal of HfCdO3 relaxed with PBEsol.

As for the formation energy from raw total energies: -0.565 eV per atom. The value obtained for the mass density is 8.4 g cm⁻³. The calculation puts the magnetic moment at 0.0 μB per formula unit. The raw total energy comes out at -22.9215 eV per atom.

The structure belongs to space group Pm-3m (No. 221); the cell edges are 4.055, 4.055 and 4.055 Å and the angles 90.00°, 90.00° and 90.00°. The asymmetric unit holds Hf at (0.000, 0.000, 0.000), Cd at (0.500, 0.500, 0.500) and O at (0.000, 0.500, 0.500).

Entry 11:
DFT (meta-GGA SCAN) results for a crystal of BaInBr relaxed with PBEsol.

As for the excess energy over the best structure of this formula in the dataset: 0 meV per atom. As for the formation energy from raw total energies: -0.818 eV per atom. The value obtained for the mass density is 5.5 g cm⁻³. The calculation puts the magnetic moment at 0.0 μB per formula unit. The raw total energy comes out at -31.6170 eV per atom.

The structure belongs to space group P3m1 (No. 156); the cell edges are 5.3870, 5.3870 and 3.9765 Å and the angles 90.00°, 90.00° and 120.00°. The asymmetric unit holds Ba at (0.0000, 0.0000, 0.0000), In at (0.6667, 0.3333, 0.5016) and Br at (0.3333, 0.6667, 0.4946).

Entry 12:
DFT (meta-GGA SCAN) results for a crystal of MoPtSeF2 relaxed with PBEsol.

As for the formation energy from raw total energies: -0.317 eV per atom. The value obtained for the mass density is 8.0 g cm⁻³. The calculation puts the magnetic moment at 3.5 μB per formula unit. The raw total energy comes out at -26.7648 eV per atom.

The structure belongs to space group P4/mmm (No. 123); the cell edges are 3.934, 3.934 and 5.486 Å and the angles 90.00°, 90.00° and 90.00°. The asymmetric unit holds Mo at (0.000, 0.000, 0.000), Pt at (0.000, 0.000, 0.500), Se at (0.500, 0.500, 0.000) and F at (0.000, 0.500, 0.500).

Q: Look up the magnetic moment of the third one.
A: 0.0 μB per formula unit

Q: raw total energy of number 9 (YCd2Se)?
A: -27.9139 eV per atom

Q: Among the records above, which one has the highest mass density?
A: CoReOs2